(1)
This record from the Alexandria database describes crystalline CsRb2SeBr at its relaxed geometry. The functional is GGA-PBE.

Formation energy without anion corrections ... -5.8 eV/f.u.
Volume ... 292.5 Å³/cell
Crystal system ... tetragonal

Unit cell a=6.5073 b=6.5073 c=6.9065 alpha=90.00 beta=90.00 gamma=90.00
Closest atoms and distances in Å follow each position.
Space group P4/mmm (No. 123)
Asymmetric unit:
Cs  0.0000  0.0000  0.0000 [1 per cell]  2 Se 3.45
Rb  0.0000  0.5000  0.5000 [2 per cell]  2 Se 3.25
Se  0.0000  0.0000  0.5000 [1 per cell]  4 Rb 3.25, 2 Cs 3.45
Br  0.5000  0.5000  0.0000 [1 per cell]  4 Cs 4.60, 8 Rb 4.74

***

(2)
This record from the Alexandria database describes crystalline CsRbSeBr6 at its relaxed geometry. The functional is GGA-PBE.

Formation energy without anion corrections ... -7.7 eV/f.u.
Volume ... 421.1 Å³/cell
Crystal system ... trigonal

Unit cell a=8.1839 b=8.1839 c=7.2599 alpha=90.00 beta=90.00 gamma=120.00
Closest atoms and distances in Å follow each position.
Space group P312 (No. 149)
Asymmetric unit:
Cs  0.0000  0.0000  0.0000 [1 per cell]  6 Br 3.73
Rb  0.3333  0.6667  0.5000 [1 per cell]  6 Br 3.43
Se  0.6667  0.3333  0.5000 [1 per cell]  6 Br 2.61
Br  0.4079  0.0740  0.7106 [6 per cell]  1 Se 2.61